Here is crystalline KNaNb2 at its relaxed geometry from Alexandria. Energies are from PBE. Values from VASP.

The structure in Quantum ESPRESSO input format:
```
&SYSTEM
  ibrav = 0, nat = 8, ntyp = 3
/
ATOMIC_SPECIES
K 39.10 K.upf
Na 22.99 Na.upf
Nb 92.91 Nb.upf
CELL_PARAMETERS angstrom
-4.567 4.567 2.552
4.567 -4.567 2.552
4.567 4.567 -2.552
ATOMIC_POSITIONS angstrom
K 0.000 0.000 0.000
K 0.000 4.567 1.276
Na 4.567 0.000 1.276
Na 0.000 0.000 2.552
Nb 2.284 -2.223 1.914
Nb 2.344 2.284 0.638
Nb 2.284 6.790 -0.638
Nb 2.223 2.284 3.191
```

Values from the calculation:
**Energy of formation from the pure elements**: 1.65 eV per atom
**Offset from the most stable computed form**: 0.000 eV per atom
**SG**: I-42d

Here is crystalline KNa3Nb at its relaxed geometry from Alexandria. Energies are from PBE. Values from VASP.

The structure in Quantum ESPRESSO input format:
```
&SYSTEM
  ibrav = 0, nat = 5, ntyp = 3
/
ATOMIC_SPECIES
K 39.10 K.upf
Na 22.99 Na.upf
Nb 92.91 Nb.upf
CELL_PARAMETERS angstrom
6.168 0.000 0.000
0.000 6.168 0.000
0.000 0.000 6.168
ATOMIC_POSITIONS angstrom
K 0.000 0.000 0.000
Na 0.000 3.084 3.084
Na 3.084 0.000 3.084
Na 3.084 3.084 0.000
Nb 3.084 3.084 3.084
```

Values from the calculation:
**Energy of formation from the pure elements**: 0.97 eV per atom
**Offset from the most stable computed form**: 0.000 eV per atom
**SG**: Pm-3m

Here is crystalline KNa2Nb at its relaxed geometry from Alexandria. Energies are from PBE. Values from VASP.

The structure in Quantum ESPRESSO input format:
```
&SYSTEM
  ibrav = 0, nat = 8, ntyp = 3
/
ATOMIC_SPECIES
K 39.10 K.upf
Na 22.99 Na.upf
Nb 92.91 Nb.upf
CELL_PARAMETERS angstrom
-4.606 4.606 3.555
4.606 -4.606 3.555
4.606 4.606 -3.555
ATOMIC_POSITIONS angstrom
K 0.000 0.000 0.000
K 0.000 4.606 1.777
Na 2.303 2.509 -0.889
Na 6.703 2.303 0.889
Na 2.303 2.097 2.666
Na -2.097 2.303 4.443
Nb 4.606 0.000 1.777
Nb 0.000 0.000 3.555
```

Values from the calculation:
**Energy of formation from the pure elements**: 1.16 eV per atom
**Offset from the most stable computed form**: 0.106 eV per atom
**SG**: I-42d